Hf2Nb2Pb | PBE | optimized geometry

a = 7.6353 Å, b = 7.6353 Å, c = 3.7439 Å
α = 90.00°, β = 90.00°, γ = 90.00°
Atoms (fractional coordinates):
Nb 0.1157 0.3843 0.0000
Nb 0.6157 0.1157 0.0000
Nb 0.8843 0.6157 0.0000
Nb 0.3843 0.8843 0.0000
Pb 0.0000 0.0000 0.0000
Pb 0.5000 0.5000 0.0000
Hf 0.3194 0.1806 0.5000
Hf 0.6806 0.8194 0.5000
Hf 0.1806 0.6806 0.5000
Hf 0.8194 0.3194 0.5000

Values from the calculation:
Energy of formation from the pure elements, eV/atom: 0.22
Volume, A^3/atom: 21.83
Magnetic moment, Bohr magnetons per cell: 0.000
VASP energy, Ha/atom: -0.3137
Space-group type: No. 127